Model one:
Here is a relaxed structure of TiAgTe3 from Alexandria via LeMat-Bulk. Energies are from PBE.

Geometry as extended XYZ:
```
10
Lattice="-3.149 0.885 1.268 -3.008 -7.525 -2.220 5.191 2.926 10.853" Properties=species:S:1:pos:R:3 pbc="T T T"
Ti -0.209 0.077 1.855
Ti -0.758 -3.790 8.045
Ag 1.691 0.087 6.566
Ag -2.657 -3.800 3.334
Te -1.447 -1.455 -0.151
Te 0.481 -2.258 10.052
Te -1.961 -6.100 1.813
Te 0.995 2.386 8.087
Te 0.821 -2.504 6.215
Te -1.787 -1.209 3.686
```

Output
Space-group type = No. 11
Total moment = 0.0 μB/f.u.
Crystal system = monoclinic

Model two:
Here is a relaxed structure of TiAgTe3 from Alexandria via LeMat-Bulk. Energies are from PBE.

Geometry as extended XYZ:
```
5
Lattice="-0.047 -5.268 0.878 3.336 0.657 4.119 -4.171 0.584 3.285" Properties=species:S:1:pos:R:3 pbc="T T T"
Te 1.668 0.328 2.060
Te -2.086 0.292 1.642
Te -0.023 -2.634 0.439
Ag -0.441 -2.014 4.141
Ti 0.000 0.000 0.000
```

Output
Space-group type = No. 221
Total moment = 0.0 μB/f.u.
Crystal system = cubic

Stability ranking, top entry: model one; the second entry is 41.2 kJ/mol of atoms less favorable.